VASP calculation (PBE-GGA) on a relaxed PaBePO crystal.

Values from the calculation:
Excess energy over the best structure of this formula in the dataset, kJ/mol of formula units: 13.8
Total magnetization, μB/cell: 2.48

abc: 4.225 5.885 5.554
angles: 90.00 90.00 90.00
Each line ends with the local moment (μB).
Fractional coordinates of all 8 atoms:
Pa: 0.500 0.765 0.925  1.08
Pa: 0.500 0.235 0.425  1.08
P: 0.500 0.244 0.929  -0.03
P: 0.500 0.756 0.429  -0.04
O: 0.000 0.602 0.854  0.00
O: 0.000 0.398 0.354  0.00
Be: 0.000 0.618 0.545  0.01
Be: 0.000 0.382 0.045  0.01